[1]
First-principles (PBE) data for a geometry-optimized CsCu2ClF2 structure, as listed in Alexandria.

For the uncorrected formation energy, the calculation gives -1357 meV/atom. The density comes out at 4.35 Mg/m³.

The space group is P2_1/m (No. 11) and the conventional cell measures 6.522, 5.029 and 8.290 Å, with angles of 90.00, 110.72 and 90.00 degrees. The distinct sites, in fractional coordinates, are Cs at (0.156, 0.250, 0.368), Cu at (0.433, 0.003, 0.843), Cl at (0.257, 0.750, 0.059), F at (0.150, 0.250, 0.723) and F at (0.351, 0.750, 0.636).

***

[2]
First-principles (PBE) data for a geometry-optimized CsCuCl2F structure, as listed in Alexandria.

For the uncorrected formation energy, the calculation gives -1320 meV/atom. The density comes out at 4.38 Mg/m³.

The space group is P4/mmm (No. 123) and the conventional cell measures 4.953, 4.953 and 4.423 Å, with angles of 90.00, 90.00 and 90.00 degrees. The distinct sites, in fractional coordinates, are Cs at (0.000, 0.000, 0.000), Cu at (0.500, 0.500, 0.500), Cl at (0.000, 0.500, 0.500) and F at (0.500, 0.500, 0.000).

***

[3]
First-principles (PBE) data for a geometry-optimized CsCuClF2 structure, as listed in Alexandria.

For the uncorrected formation energy, the calculation gives -1597 meV/atom. The density comes out at 4.78 Mg/m³. For the energy above the most stable polymorph in this dataset, the calculation gives 91 meV per atom.

The space group is P4/mmm (No. 123) and the conventional cell measures 4.524, 4.524 and 4.582 Å, with angles of 90.00, 90.00 and 90.00 degrees. The distinct sites, in fractional coordinates, are Cs at (0.000, 0.000, 0.000), Cu at (0.500, 0.500, 0.500), Cl at (0.500, 0.500, 0.000) and F at (0.000, 0.500, 0.500).

***

[4]
First-principles (PBE) data for a geometry-optimized Cs2CuCl2F2 structure, as listed in Alexandria.

For the uncorrected formation energy, the calculation gives -1749 meV/atom. The density comes out at 4.04 Mg/m³.

The space group is I4/mmm (No. 139) and the conventional cell measures 4.775, 4.775 and 15.799 Å, with angles of 90.00, 90.00 and 90.00 degrees. The distinct sites, in fractional coordinates, are Cs at (0.000, 0.000, 0.124), Cu at (0.000, 0.000, 0.500), Cl at (0.000, 0.000, 0.358) and F at (0.000, 0.500, 0.000).

***

[5]
First-principles (PBE) data for a geometry-optimized CsGaCuCl6 structure, as listed in Alexandria.

For the uncorrected formation energy, the calculation gives -1088 meV/atom. The density comes out at 2.86 Mg/m³.

The space group is P1 (No. 1) and the conventional cell measures 6.272, 6.274 and 7.748 Å, with angles of 93.12, 93.14 and 113.52 degrees. The distinct sites, in fractional coordinates, are Cs at (0.000, 0.000, 0.000), Ga at (0.639, 0.361, 0.500), Cu at (0.292, 0.706, 0.501), Cl at (0.336, 0.053, 0.649), Cl at (0.345, 0.435, 0.316), Cl at (0.563, 0.653, 0.685), Cl at (0.614, 0.075, 0.294), Cl at (0.925, 0.385, 0.705) and Cl at (0.946, 0.664, 0.352).

***

[6]
First-principles (PBE) data for a geometry-optimized Cs2Cu2GeCl6 structure, as listed in Alexandria.

For the uncorrected formation energy, the calculation gives -1117 meV/atom. The density comes out at 3.50 Mg/m³.

The space group is C2/m (No. 12) and the conventional cell measures 12.999, 7.531 and 7.710 Å, with angles of 90.00, 121.37 and 90.00 degrees. The distinct sites, in fractional coordinates, are Cs at (0.234, 0.000, 0.212), Cu at (0.062, 0.500, 0.206), Ge at (0.000, 0.000, 0.500), Cl at (0.017, 0.244, 0.768) and Cl at (0.242, 0.000, 0.710).

***

[7]
First-principles (PBE) data for a geometry-optimized Cs4CuGe3Cl12 structure, as listed in Alexandria.

For the uncorrected formation energy, the calculation gives -1264 meV/atom. The density comes out at 3.59 Mg/m³.

The space group is Im-3m (No. 229) and the conventional cell measures 10.459, 10.459 and 10.459 Å, with angles of 90.00, 90.00 and 90.00 degrees. The distinct sites, in fractional coordinates, are Cs at (0.250, 0.250, 0.250), Cu at (0.000, 0.000, 0.000), Ge at (0.000, 0.000, 0.500), Cl at (0.000, 0.000, 0.245) and Cl at (0.000, 0.250, 0.500).

***

[8]
First-principles (PBE) data for a geometry-optimized Cs2CuH2Cl6 structure, as listed in Alexandria.

Its raw total energy is -2.994 eV/atom. The density comes out at 3.34 Mg/m³.

The space group is R-3m (No. 166, hexagonal axes) and the conventional cell measures 6.7069, 6.7069 and 20.8316 Å, with angles of 90.00, 90.00 and 120.00 degrees. The distinct sites, in fractional coordinates, are Cs at (0.0000, 0.0000, 0.2237), Cu at (0.0000, 0.0000, 0.0000), H at (0.0000, 0.0000, 0.3978) and Cl at (0.0160, 0.5080, 0.2638).

***

[9]
First-principles (PBE) data for a geometry-optimized CsCuHCl2 structure, as listed in Alexandria.

Its raw total energy is -2.285 eV/atom. The density comes out at 3.83 Mg/m³.

The space group is P4/mmm (No. 123) and the conventional cell measures 5.392, 5.392 and 4.004 Å, with angles of 90.00, 90.00 and 90.00 degrees. The distinct sites, in fractional coordinates, are Cs at (0.000, 0.000, 0.000), Cu at (0.500, 0.500, 0.000), H at (0.000, 0.000, 0.500) and Cl at (0.000, 0.500, 0.500).

***

[10]
First-principles (PBE) data for a geometry-optimized Cs2HfCuCl structure, as listed in Alexandria.

For the uncorrected formation energy, the calculation gives 628 meV/atom. The density comes out at 4.17 Mg/m³.

The space group is P4/mmm (No. 123) and the conventional cell measures 6.997, 6.997 and 4.423 Å, with angles of 90.00, 90.00 and 90.00 degrees. The distinct sites, in fractional coordinates, are Cs at (0.000, 0.500, 0.000), Hf at (0.000, 0.000, 0.500), Cu at (0.500, 0.500, 0.500) and Cl at (0.500, 0.500, 0.000).

***

[11]
First-principles (PBE) data for a geometry-optimized CsCu2HgCl6 structure, as listed in Alexandria.

For the uncorrected formation energy, the calculation gives -818 meV/atom. The density comes out at 3.45 Mg/m³.

The space group is C2/c (No. 15) and the conventional cell measures 13.071, 15.356 and 6.478 Å, with angles of 90.00, 95.07 and 90.00 degrees. The distinct sites, in fractional coordinates, are Cs at (0.000, 0.108, 0.250), Cu at (0.206, 0.440, 0.223), Hg at (0.000, 0.324, 0.750), Cl at (0.115, 0.312, 0.053), Cl at (0.132, 0.102, 0.743) and Cl at (0.140, 0.446, 0.537).

***

[12]
First-principles (PBE) data for a geometry-optimized Cs3Cu2HgCl9 structure, as listed in Alexandria.

For the uncorrected formation energy, the calculation gives -1110 meV/atom. The density comes out at 4.34 Mg/m³.

The space group is P-3m1 (No. 164) and the conventional cell measures 7.2173, 7.2173 and 8.8736 Å, with angles of 90.00, 90.00 and 120.00 degrees. The distinct sites, in fractional coordinates, are Cs at (0.0000, 0.0000, 0.0000), Cs at (0.3333, 0.6667, 0.6665), Cu at (0.3333, 0.6667, 0.1548), Hg at (0.0000, 0.0000, 0.5000), Cl at (0.0000, 0.5000, 0.0000) and Cl at (0.1745, 0.3491, 0.3198).